Y2CuHg, relaxed, DFT PBEsol; ΔE_f = -0.213 eV per atom
1.0
3.641 0.000 0.000
0.000 3.641 0.000
0.000 0.000 6.923
Y Cu Hg
2 1 1
direct
0.000 0.000 0.000
0.500 0.500 0.340
0.000 0.000 0.553
0.500 0.500 0.766

=====

TiMnP2O8, relaxed, DFT PBEsol; formation energy (no corrections) = -27.77 eV per formula unit; distance to the lowest polymorph of the same formula = 0 meV per atom
1.0
4.305 2.486 6.936
-4.305 2.486 6.936
0.000 -4.971 6.936
Ti Mn P O
3 3 6 24
direct
0.000 0.000 0.000
0.211 0.211 0.211
0.708 0.708 0.708
0.357 0.357 0.357
0.498 0.498 0.498
0.855 0.855 0.855
0.100 0.814 0.399
0.307 0.602 0.899
0.399 0.100 0.814
0.602 0.899 0.307
0.814 0.399 0.100
0.899 0.307 0.602
0.017 0.876 0.244
0.095 0.300 0.439
0.111 0.764 0.930
0.164 0.976 0.357
0.244 0.017 0.876
0.259 0.623 0.398
0.300 0.439 0.095
0.333 0.544 0.746
0.357 0.164 0.976
0.398 0.259 0.623
0.439 0.095 0.300
0.474 0.665 0.848
0.544 0.746 0.333
0.596 0.939 0.796
0.623 0.398 0.259
0.665 0.848 0.474
0.746 0.333 0.544
0.764 0.930 0.111
0.796 0.596 0.939
0.848 0.474 0.665
0.876 0.244 0.017
0.930 0.111 0.764
0.939 0.796 0.596
0.976 0.357 0.164

=====

TaVH4, relaxed, DFT PBEsol; E_tot = -6.121 eV per atom
1.0
1.533 0.885 4.999
-1.533 0.885 4.999
0.000 -1.770 4.999
Ta V H
1 1 4
direct
0.000 0.000 0.000
0.500 0.500 0.500
0.130 0.130 0.130
0.381 0.381 0.381
0.619 0.619 0.619
0.870 0.870 0.870